Entry 1:
A relaxed TaIn2Te crystal, computed with PBE-GGA.

magnetization = 0.000 μB per atom
raw total energy = -4.933 eV per atom
energy above the lowest structure with this stoichiometry = 108 meV per atom
formation energy from raw total energies = 0.18 eV/atom

Geometry as CIF:
```
data_TaIn2Te
_chemical_formula_sum 'Ta1 In2 Te1'
_space_group_name_H-M_alt 'P 1'
_space_group_IT_number 1
_cell_length_a 3.2012
_cell_length_b 3.2012
_cell_length_c 10.7969
_cell_angle_alpha 90.00
_cell_angle_beta 90.00
_cell_angle_gamma 110.57
loop_
_space_group_symop_operation_xyz
'x,y,z'
loop_
_atom_site_label
_atom_site_type_symbol
_atom_site_fract_x
_atom_site_fract_y
_atom_site_fract_z
In1 In 0.5000 0.5000 0.2806
In2 In 0.0000 0.0000 0.0340
Ta1 Ta 0.0000 0.0000 0.4963
Te1 Te 0.5000 0.5000 0.6891
```

***

Entry 2:
A relaxed Tc2IrSe crystal, computed with PBE-GGA.

magnetization = 0.000 μB per atom
raw total energy = -7.690 eV per atom
formation energy from raw total energies = 0.58 eV/atom

Geometry as CIF:
```
data_Tc2IrSe
_chemical_formula_sum 'Tc2 Ir1 Se1'
_space_group_name_H-M_alt 'P 1'
_space_group_IT_number 1
_cell_length_a 4.4208
_cell_length_b 4.4208
_cell_length_c 4.4208
_cell_angle_alpha 60.00
_cell_angle_beta 60.00
_cell_angle_gamma 60.00
loop_
_space_group_symop_operation_xyz
'x,y,z'
loop_
_atom_site_label
_atom_site_type_symbol
_atom_site_fract_x
_atom_site_fract_y
_atom_site_fract_z
Tc1 Tc 0.2500 0.2500 0.2500
Tc2 Tc 0.0000 0.0000 0.0000
Ir1 Ir 0.5000 0.5000 0.5000
Se1 Se 0.7500 0.7500 0.7500
```

***

Entry 3:
A relaxed LiMo2Cl crystal, computed with PBE-GGA.

magnetization = 0.000 μB per atom
raw total energy = -5.462 eV per atom
energy above the lowest structure with this stoichiometry = 995 meV per atom
formation energy from raw total energies = 0.89 eV/atom

Geometry as CIF:
```
data_LiMo2Cl
_chemical_formula_sum 'Li1 Mo2 Cl1'
_space_group_name_H-M_alt 'P 1'
_space_group_IT_number 1
_cell_length_a 4.5610
_cell_length_b 4.5610
_cell_length_c 2.7337
_cell_angle_alpha 90.00
_cell_angle_beta 90.00
_cell_angle_gamma 90.00
loop_
_space_group_symop_operation_xyz
'x,y,z'
loop_
_atom_site_label
_atom_site_type_symbol
_atom_site_fract_x
_atom_site_fract_y
_atom_site_fract_z
Li1 Li 0.0000 0.5000 0.5000
Mo1 Mo 0.0000 0.0000 0.0000
Mo2 Mo 0.5000 0.5000 0.0000
Cl1 Cl 0.5000 0.0000 0.5000
```

***

Entry 4:
A relaxed Ag2HgPbCl6 crystal, computed with PBE-GGA.

magnetization = 0.000 μB per atom
raw total energy = -2.754 eV per atom
formation energy from raw total energies = -0.67 eV/atom

Geometry as CIF:
```
data_Ag2HgPbCl6
_chemical_formula_sum 'Ag2 Hg1 Pb1 Cl6'
_space_group_name_H-M_alt 'P 1'
_space_group_IT_number 1
_cell_length_a 7.0412
_cell_length_b 7.0390
_cell_length_c 7.5142
_cell_angle_alpha 62.04
_cell_angle_beta 62.02
_cell_angle_gamma 59.97
loop_
_space_group_symop_operation_xyz
'x,y,z'
loop_
_atom_site_label
_atom_site_type_symbol
_atom_site_fract_x
_atom_site_fract_y
_atom_site_fract_z
Cl1 Cl 0.5976 0.2347 0.2461
Cl2 Cl 0.1231 0.3984 0.7601
Cl3 Cl 0.7184 0.1231 0.7602
Cl4 Cl 0.2348 0.9216 0.2464
Cl5 Cl 0.9217 0.5972 0.2465
Cl6 Cl 0.3981 0.7186 0.7602
Ag1 Ag 0.5204 0.5203 0.4389
Ag2 Ag 0.0168 0.0172 0.9489
Hg1 Hg 0.3157 0.3156 0.0530
Pb1 Pb 0.8150 0.8150 0.5549
```